Below is an optimized crystal structure of TbCeSc2In4, with properties calculated at the PBE level.

Lattice parameters (Å, degrees): 5.2231 5.2231 9.0920 73.31 73.31 60.00
Closest atoms and distances in Å follow each position.
Sites, in units of the cell vectors:
Sc  0.7499  0.7499  0.7504  8 In 3.18-3.26
Sc  0.2501  0.2501  0.2496  8 In 3.18-3.26
Tb  0.0000  0.0000  0.0000  8 In 3.18-3.19
In  0.8765  0.8765  0.3706  1 Tb 3.18, 4 Sc 3.19-3.26, 3 Ce 3.21
In  0.6263  0.6263  0.1212  4 Sc 3.18-3.21, 3 Tb 3.19, 1 Ce 3.25
In  0.1235  0.1235  0.6294  1 Tb 3.18, 4 Sc 3.19-3.26, 3 Ce 3.21
In  0.3737  0.3737  0.8788  4 Sc 3.18-3.21, 3 Tb 3.19, 1 Ce 3.25
Ce  0.5000  0.5000  0.5000  8 In 3.21-3.25

The value obtained for the calculated volume is 25.33 Å³/atom. The total energy is -37.4 eV per cell.